Entry P
Computed, not measured: an optimized crystal structure of CrInAg at the PBE level of DFT.

Size of the total moment, Bohr magnetons per cell: 4.32

Cell lengths 5.1637, 5.1637, 5.1637 Å; angles 139.56, 139.56, 58.53 degrees
Fractional positions:
Cr  0.0000  0.0000  0.0000
In  0.3318  0.3318  0.0000
Ag  0.6613  0.6613  0.0000

=====

Entry Q
Computed, not measured: an optimized crystal structure of CrInAg at the PBE level of DFT.

Size of the total moment, Bohr magnetons per cell: 4.15

Cell lengths 4.5544, 4.5544, 4.5544 Å; angles 60.00, 60.00, 60.00 degrees
Fractional positions:
Cr  0.0000  0.0000  0.0000
In  0.5000  0.5000  0.5000
Ag  0.2500  0.2500  0.2500

=====

Entry R
Computed, not measured: an optimized crystal structure of CrInAg at the PBE level of DFT.

Size of the total moment, Bohr magnetons per cell: 3.78

Cell lengths 4.6723, 4.6723, 3.0405 Å; angles 90.00, 90.00, 120.00 degrees
Fractional positions:
Cr  0.0000  0.0000  0.0000
In  0.3333  0.6667  0.4936
Ag  0.6667  0.3333  0.5046

=====

Tell me which of them is the least stable. Sure, it is entry Q.